Entry 1:
A geometry-optimized InReAs2 structure, computed with GGA-PBE.

Values from the calculation:
- ΔH_f (0 K) (kJ/mol of atoms) = 65
- SG = C2/m

a = 5.829 Å, b = 5.829 Å, c = 2.677 Å
α = 91.02°, β = 91.02°, γ = 122.41°
Fractional coordinates of all 4 atoms:
In1 0.000 0.000 0.000
Re1 0.500 0.500 0.000
As1 0.000 0.500 0.000
As2 0.500 0.000 0.000

=====

Entry 2:
A geometry-optimized InRe2As structure, computed with GGA-PBE.

Values from the calculation:
- ΔH_f (0 K) (kJ/mol of atoms) = 49
- SG = R-3m

a = 8.829 Å, b = 8.829 Å, c = 8.829 Å
α = 19.32°, β = 19.32°, γ = 19.32°
Fractional coordinates of all 4 atoms:
In1 0.000 0.000 0.000
Re1 0.241 0.241 0.241
Re2 0.759 0.759 0.759
As1 0.500 0.500 0.500

=====

Entry 3:
A geometry-optimized InReAs2 structure, computed with GGA-PBE.

Values from the calculation:
- ΔH_f (0 K) (kJ/mol of atoms) = 17
- SG = Imm2

a = 8.635 Å, b = 8.635 Å, c = 8.635 Å
α = 159.14°, β = 158.54°, γ = 30.10°
Fractional coordinates of all 4 atoms:
In1 0.000 0.000 0.000
Re1 0.764 0.264 0.500
As1 0.339 0.839 0.500
As2 0.648 0.648 0.000

=====

Entry 4:
A geometry-optimized InRe2As structure, computed with GGA-PBE.

Values from the calculation:
- ΔH_f (0 K) (kJ/mol of atoms) = 69
- SG = P4/mmm

a = 4.500 Å, b = 4.500 Å, c = 3.195 Å
α = 90.00°, β = 90.00°, γ = 90.00°
Fractional coordinates of all 4 atoms:
In1 0.000 0.000 0.000
Re1 0.000 0.500 0.500
Re2 0.500 0.000 0.500
As1 0.500 0.500 0.000

=====

Entry 5:
A geometry-optimized InRe2As structure, computed with GGA-PBE.

Values from the calculation:
- ΔH_f (0 K) (kJ/mol of atoms) = 29
- SG = R3m

a = 8.967 Å, b = 8.967 Å, c = 8.967 Å
α = 19.30°, β = 19.30°, γ = 19.30°
Fractional coordinates of all 4 atoms:
In1 0.000 0.000 0.000
Re1 0.499 0.499 0.499
Re2 0.755 0.755 0.755
As1 0.237 0.237 0.237

=====

Entry 6:
A geometry-optimized InReAs2 structure, computed with GGA-PBE.

Values from the calculation:
- ΔH_f (0 K) (kJ/mol of atoms) = 4
- SG = C2/m

a = 3.178 Å, b = 3.178 Å, c = 9.757 Å
α = 99.41°, β = 99.41°, γ = 60.15°
Fractional coordinates of all 4 atoms:
In1 0.000 0.000 0.000
Re1 0.500 0.500 0.500
As1 0.105 0.105 0.316
As2 0.895 0.895 0.684

=====

Entry 7:
A geometry-optimized InRe2SiAs structure, computed with GGA-PBE.

Values from the calculation:
- SG = P4/mmm
- formation energy (no corrections) (eV per atom) = 1.23

a = 4.577 Å, b = 4.577 Å, c = 4.578 Å
α = 90.00°, β = 90.00°, γ = 90.00°
Fractional coordinates of all 5 atoms:
In1 0.000 0.000 0.000
Re1 0.000 0.500 0.500
Re2 0.500 0.000 0.500
Si1 0.500 0.500 0.500
As1 0.500 0.500 0.000

=====

Entry 8:
A geometry-optimized InReSnAs2 structure, computed with GGA-PBE.

Values from the calculation:
- ΔH_f (0 K) (kJ/mol of atoms) = 46
- SG = P4/mmm

a = 4.786 Å, b = 4.786 Å, c = 5.460 Å
α = 90.00°, β = 90.00°, γ = 90.00°
Fractional coordinates of all 5 atoms:
In1 0.000 0.000 0.000
Re1 0.000 0.000 0.500
Sn1 0.500 0.500 0.000
As1 0.000 0.500 0.500
As2 0.500 0.000 0.500

=====

no.,total magnetization (Bohr magnetons per cell)
1,0.0
2,0.0
3,0.0
4,0.0
5,0.0
6,0.0
7,0.0
8,0.0